[1]
Na6PbAu | Alexandria | PBE | optimized geometry; distance to the lowest polymorph of the same formula = 0.000 eV per formula unit; total magnetic moment = 0.000 μB per cell
1.0
8.551 0.021 -0.033
4.274 7.396 -0.055
4.276 2.479 3.464
Na Au Pb
6 1 1
Cartesian
7.488 7.998 0.795
10.687 7.397 2.547
9.612 1.898 2.580
13.903 5.585 2.550
3.198 4.311 0.825
6.414 2.500 0.828
8.550 4.948 1.688
0.000 0.000 0.000

=====

[2]
Na2Pb3Au2 | Alexandria | PBE | optimized geometry; total magnetic moment = 0.000 μB per cell
1.0
4.509 0.000 0.000
-2.254 5.542 -0.197
0.000 -2.782 7.829
Pb Na Au
3 2 2
Cartesian
2.254 0.163 3.443
2.254 0.000 0.000
0.000 2.598 4.189
0.000 -0.550 6.350
2.254 3.310 1.281
0.000 1.053 1.636
2.254 1.707 5.995

=====

[3]
NaPb12Au6 | Alexandria | PBE | optimized geometry; total magnetic moment = 0.000 μB per cell
1.0
8.719 -0.144 -0.203
-2.301 8.411 -0.203
-2.301 -2.964 7.874
Au Pb Na
6 12 1
Cartesian
0.013 0.017 5.487
-0.893 4.007 5.643
5.010 1.295 1.824
4.104 0.128 5.643
0.013 5.175 1.824
4.104 5.286 1.980
6.201 3.711 0.697
-2.085 1.591 6.770
4.584 3.000 4.225
2.058 6.928 0.697
6.201 -0.565 3.734
1.770 5.184 4.225
2.346 0.118 3.243
1.770 2.280 6.287
-0.467 2.302 3.243
2.058 -1.626 6.770
-2.085 5.868 3.734
2.346 3.022 1.180
0.000 0.000 0.000

=====

[4]
Na3PbAu2 | Alexandria | PBE | optimized geometry; distance to the lowest polymorph of the same formula = 0.000 eV per formula unit; total magnetic moment = 0.000 μB per cell
1.0
-0.665 -3.684 2.394
8.910 -2.580 -1.495
-2.269 6.356 5.028
Na Pb Au
6 2 4
Cartesian
7.323 -0.819 0.774
6.350 -3.777 0.076
2.869 0.471 1.522
-1.348 0.911 5.152
1.895 -2.487 0.823
3.106 -0.379 4.405
4.455 -1.290 -0.748
0.000 0.000 0.000
0.312 -0.721 3.101
1.209 2.103 3.573
5.663 0.813 2.825
4.766 -2.011 2.354

=====

[5]
Na3Pb4Au4 | Alexandria | PBE | optimized geometry; total magnetic moment = 0.000 μB per cell
1.0
4.528 0.000 0.000
0.000 8.239 0.000
-2.264 -4.120 7.926
Pb Au Na
4 4 3
Cartesian
2.264 5.827 2.668
0.000 1.708 5.258
2.264 2.412 2.668
0.000 -1.708 5.258
0.000 4.120 3.453
2.264 6.799 0.000
2.264 1.440 0.000
2.264 0.000 4.473
0.000 0.000 1.761
2.264 4.120 6.165
0.000 4.120 0.000

=====

[6]
Na3Pb2Au4 | Alexandria | PBE | optimized geometry; total magnetic moment = 0.000 μB per cell
1.0
4.993 0.000 0.000
-2.496 4.332 0.341
0.000 -0.657 9.351
Na Pb Au
3 2 4
Cartesian
0.000 2.522 5.553
2.496 1.153 4.138
0.000 0.000 0.000
0.000 2.746 2.170
2.496 0.929 7.522
0.000 -0.420 6.126
2.496 1.367 1.111
0.000 2.308 8.580
2.496 4.094 3.566

=====

[7]
Na2Pb4Au | Alexandria | PBE | optimized geometry; total magnetic moment = 0.000 μB per cell
1.0
5.661 0.000 0.000
0.000 5.661 0.000
2.830 2.830 7.873
Na Pb Au
2 4 1
Cartesian
2.830 2.830 1.951
5.661 5.661 5.922
2.830 0.000 0.000
5.661 5.661 2.799
0.000 2.830 0.000
2.830 2.830 5.074
0.000 0.000 0.000

=====

[8]
Na2Pb3Au3 | Alexandria | PBE | optimized geometry; total magnetic moment = 0.000 μB per cell
1.0
3.219 0.000 0.000
0.000 7.218 -4.167
0.000 0.000 8.334
Na Au Pb
2 3 3
Cartesian
0.000 4.812 0.000
0.000 2.406 4.167
1.609 4.526 2.613
1.609 0.000 3.109
1.609 2.692 -1.554
0.000 5.331 -3.078
0.000 0.000 6.155
0.000 1.887 1.089

=====

[9]
Na7PbAu5 | Alexandria | PBE | optimized geometry; total magnetic moment = 0.000 μB per cell
1.0
-3.408 -1.773 -4.228
-6.333 -3.818 2.847
-5.474 5.460 -1.736
Pb Na Au
1 7 5
Cartesian
-11.030 1.326 0.618
-8.509 0.301 -0.985
-8.073 -3.133 0.104
-9.408 0.954 -4.394
-7.492 3.144 -2.997
-5.267 -1.017 -3.046
-9.741 -2.645 -2.616
-4.240 0.144 -0.502
-11.477 -0.072 -2.295
-6.356 1.113 -5.010
-5.078 -2.781 -0.510
-6.799 -3.676 -2.644
-4.635 2.008 -2.876

=====

[10]
NaPb6Au3 | Alexandria | PBE | optimized geometry; total magnetic moment = 0.000 μB per cell
1.0
-1.639 1.012 -3.367
7.802 -6.255 -5.678
-9.666 -7.896 2.331
Pb Au Na
12 6 2
Cartesian
-4.695 -10.168 -1.889
1.200 -9.843 -4.661
-8.004 -8.698 0.163
-4.703 -3.296 -2.053
1.675 -6.699 -6.182
-3.545 -6.975 -3.723
4.500 -4.441 -6.878
-2.836 -10.128 -5.016
1.192 -2.971 -4.825
-5.179 -6.440 -0.533
-0.667 -3.011 -1.698
0.042 -6.164 -2.991
-6.736 -8.099 -2.508
3.233 -5.039 -4.206
-2.529 -5.293 -1.478
-1.998 -12.866 -4.014
-0.974 -7.846 -5.237
-1.506 -0.273 -2.701
4.945 -7.503 -5.781
-8.449 -5.635 -0.934

=====

[11]
NaPb2Au | Alexandria | PBE | optimized geometry; total magnetic moment = 0.000 μB per cell
1.0
0.000 3.689 3.689
3.689 0.000 3.689
3.689 3.689 0.000
Au Pb Na
1 2 1
Cartesian
3.689 3.689 3.689
1.844 1.844 1.844
5.533 5.533 5.533
0.000 0.000 0.000

=====

[12]
Na2PbAu | Alexandria | PBE | optimized geometry; total magnetic moment = 0.000 μB per cell
1.0
-2.309 0.356 -2.650
-2.866 -2.061 -0.135
-7.164 6.621 4.775
Na Pb Au
2 1 1
Cartesian
-6.830 0.482 -1.049
-5.509 4.433 3.040
0.000 0.000 0.000
-6.169 2.458 0.995

=====

[13]
NaPbAu10 | Alexandria | PBE | optimized geometry; total magnetic moment = 0.000 μB per cell
1.0
-4.558 -0.326 -0.920
-0.901 -2.025 5.183
-1.321 9.098 3.325
Au Na Pb
10 1 1
Cartesian
-3.496 6.156 3.335
-3.945 5.147 5.918
-2.729 -1.175 2.132
-2.939 4.386 1.203
-1.555 6.596 5.372
-0.884 6.086 2.224
-0.667 0.476 3.136
-2.835 1.600 1.670
-0.437 3.011 1.100
-3.284 0.591 4.254
0.000 0.000 0.000
-1.111 3.536 4.254

=====

[14]
Na6Pb2Au | Alexandria | PBE | optimized geometry; distance to the lowest polymorph of the same formula = 0.000 eV per formula unit; total magnetic moment = 0.000 μB per cell
1.0
5.281 0.000 1.450
2.442 4.683 1.450
-0.121 -0.073 10.785
Au Na Pb
1 6 2
Cartesian
0.000 0.000 0.000
6.157 3.734 8.604
2.328 1.412 1.864
1.445 0.876 5.080
3.170 1.922 9.141
4.432 2.688 4.543
5.274 3.198 11.820
7.002 4.246 5.528
0.601 0.364 8.157

=====

[15]
NaPb2Au | Alexandria | PBE | optimized geometry; total magnetic moment = 0.000 μB per cell
1.0
-0.219 1.007 3.617
-3.749 0.138 -0.265
-0.411 -7.309 2.010
Pb Na Au
2 1 1
Cartesian
-0.324 -5.751 1.581
-0.088 -1.558 0.428
-2.190 -3.082 2.681
-1.984 0.572 1.676

=====

[16]
Na2PbAu | Alexandria | PBE | optimized geometry; total magnetic moment = 0.000 μB per cell
1.0
-0.280 2.618 2.754
-0.362 -2.768 2.594
6.764 -0.127 0.808
Au Na Pb
1 2 1
Cartesian
-0.321 -0.075 2.674
5.255 -0.099 0.628
1.509 -0.028 0.180
3.061 -0.138 3.078

=====

[17]
NaPb3Au | Alexandria | PBE | optimized geometry; distance to the lowest polymorph of the same formula = 0.000 eV per formula unit; total magnetic moment = 0.000 μB per cell
1.0
7.112 -0.144 0.000
-0.138 5.960 0.000
0.000 0.000 6.953
Au Pb Na
2 6 2
Cartesian
3.168 4.910 5.214
3.807 0.906 1.738
1.466 0.691 6.946
6.282 2.368 1.738
0.692 3.448 5.214
1.466 0.691 3.483
5.509 5.125 3.470
5.509 5.125 0.007
2.671 3.773 1.738
4.303 2.043 5.214

=====

[18]
Na2PbAu | Alexandria | PBE | optimized geometry; total magnetic moment = 0.000 μB per cell
1.0
-2.952 -4.825 -0.702
4.614 -2.315 -3.492
1.069 -1.520 5.949
Pb Au Na
2 2 4
Cartesian
4.090 -4.464 1.912
-1.359 -4.196 -0.157
2.841 -1.917 1.229
1.365 -4.330 0.877
-0.242 -1.840 2.090
2.972 -6.820 -0.335
1.647 -6.523 3.194
1.083 -2.137 -1.439

=====

[19]
NaPb3Au8 | Alexandria | PBE | optimized geometry; distance to the lowest polymorph of the same formula = 0.000 eV per formula unit; total magnetic moment = 0.000 μB per cell
1.0
-5.366 -0.204 1.899
-3.485 -4.151 -1.752
-0.207 -6.784 7.225
Au Pb Na
8 3 1
Cartesian
-6.279 -9.355 6.877
-5.767 -8.630 4.142
-5.647 -5.268 0.560
-6.589 -3.292 2.388
-1.751 -3.783 3.187
-8.442 -8.732 5.088
-3.902 -3.190 1.437
-6.705 -6.663 5.962
-4.547 -5.534 3.638
-3.511 -7.549 6.350
-8.832 -4.392 0.197
-7.814 -6.370 2.859

=====

[20]
Na2Pb2Au3 | Alexandria | PBE | optimized geometry; total magnetic moment = 0.000 μB per cell
1.0
3.898 0.000 0.000
-1.949 6.671 0.072
0.000 -3.462 6.731
Au Pb Na
3 2 2
Cartesian
1.949 -0.400 2.989
0.000 3.609 3.814
1.949 0.000 0.000
1.949 1.723 5.025
0.000 1.486 1.778
0.000 -1.261 5.244
1.949 4.470 1.559

=====

[21]
NaPb8Au2 | Alexandria | PBE | optimized geometry; distance to the lowest polymorph of the same formula = 0.497 eV per formula unit; total magnetic moment = 0.000 μB per cell
1.0
5.533 0.321 2.483
2.150 7.507 4.588
0.560 0.728 9.011
Pb Na Au
8 1 2
Cartesian
6.140 4.806 6.355
5.474 1.968 8.207
5.562 6.865 12.524
2.769 6.588 7.875
2.681 1.691 3.557
5.345 5.073 9.699
2.898 3.483 6.382
2.103 3.750 9.726
0.000 0.000 0.000
3.068 6.454 10.997
5.175 2.103 5.085

=====

[22]
Na2PbAu | Alexandria | PBE | optimized geometry; total magnetic moment = 0.000 μB per cell
1.0
4.881 0.000 0.000
0.000 4.482 0.000
0.000 0.000 4.482
Na Au Pb
2 1 1
Cartesian
0.000 2.241 0.000
0.000 0.000 2.241
2.440 0.000 0.000
2.440 2.241 2.241

=====

[23]
NaPb3Au3 | Alexandria | PBE | optimized geometry; distance to the lowest polymorph of the same formula = 1.623 eV per formula unit; total magnetic moment = 0.000 μB per cell
1.0
7.943 0.000 0.000
0.000 7.943 0.000
0.000 0.000 7.943
Au Pb Na
6 6 2
Cartesian
3.971 5.957 0.000
5.957 0.000 3.971
0.000 3.971 5.957
0.000 3.971 1.986
3.971 1.986 0.000
1.986 0.000 3.971
1.986 3.971 0.000
3.971 0.000 5.957
0.000 5.957 3.971
0.000 1.986 3.971
5.957 3.971 0.000
3.971 0.000 1.986
0.000 0.000 0.000
3.971 3.971 3.971

=====

| no. | E_form (eV per atom) |
| --- | --- |
| 1 | -0.152 |
| 2 | -0.175 |
| 3 | -0.034 |
| 4 | -0.213 |
| 5 | -0.209 |
| 6 | -0.237 |
| 7 | 0.154 |
| 8 | -0.094 |
| 9 | -0.236 |
| 10 | -0.067 |
| 11 | -0.113 |
| 12 | -0.034 |
| 13 | -0.094 |
| 14 | -0.182 |
| 15 | -0.100 |
| 16 | -0.193 |
| 17 | -0.115 |
| 18 | -0.218 |
| 19 | -0.119 |
| 20 | -0.197 |
| 21 | 0.014 |
| 22 | -0.188 |
| 23 | 0.108 |